1.
VASP calculation (PBE-GGA) on crystalline KMnFe at its relaxed geometry.

Geometry as CIF:
```
data_KMnFe
_cell_length_a 2.9109
_cell_length_b 2.9109
_cell_length_c 7.9938
_cell_angle_alpha 90.00
_cell_angle_beta 90.00
_cell_angle_gamma 120.00
_symmetry_space_group_name_H-M 'P 3 m 1'
_symmetry_Int_Tables_number 156
loop_
_symmetry_equiv_pos_as_xyz
'x,y,z'
'-y,x-y,z'
'-x+y,-x,z'
'-y,-x,z'
'-x+y,y,z'
'x,x-y,z'
loop_
_atom_site_label
_atom_site_fract_x
_atom_site_fract_y
_atom_site_fract_z
_atom_site_occupancy
K1 0.0000 0.0000 0.0000 1
Mn1 0.6667 0.3333 0.3877 1
Fe1 0.3333 0.6667 0.6352 1
```

Computed properties:
For the energy of formation from the pure elements, the calculation gives 1031 meV per atom. The energy relative to the lowest polymorph listed for this composition is 0.40 eV per formula unit.

---

2.
VASP calculation (PBE-GGA) on crystalline Sc2MoH4 at its relaxed geometry.

Geometry as CIF:
```
data_Sc2MoH4
_cell_length_a 3.5536
_cell_length_b 3.5536
_cell_length_c 11.0032
_cell_angle_alpha 90.00
_cell_angle_beta 90.00
_cell_angle_gamma 90.00
_symmetry_space_group_name_H-M 'I 4/m m m'
_symmetry_Int_Tables_number 139
_symmetry_space_group_name_Hall '-I 4 2'
loop_
_atom_site_label
_atom_site_fract_x
_atom_site_fract_y
_atom_site_fract_z
_atom_site_occupancy
Sc1 0.0000 0.0000 0.1504 1
Mo1 0.0000 0.0000 0.5000 1
H1 0.0000 0.0000 0.3326 1
H2 0.0000 0.5000 0.0000 1
```

Computed properties:
The value obtained for the calculated total energy is -5.56 eV per atom.

---

3.
VASP calculation (PBE-GGA) on crystalline Ce6GaRh2 at its relaxed geometry.

Geometry as CIF:
```
data_Ce6GaRh2
_cell_length_a 10.3097
_cell_length_b 4.7247
_cell_length_c 8.7209
_cell_angle_alpha 90.00
_cell_angle_beta 93.38
_cell_angle_gamma 90.00
_symmetry_space_group_name_H-M 'C 1 2/m 1'
_symmetry_Int_Tables_number 12
loop_
_symmetry_equiv_pos_as_xyz
'x,y,z'
'-x,-y,-z'
'-x,y,-z'
'x,-y,z'
'x+1/2,y+1/2,z'
'-x+1/2,-y+1/2,-z'
'-x+1/2,y+1/2,-z'
'x+1/2,-y+1/2,z'
loop_
_atom_site_label
_atom_site_fract_x
_atom_site_fract_y
_atom_site_fract_z
_atom_site_occupancy
Ce1 0.0624 0.0000 0.3554 1
Ce2 0.0990 0.5000 0.6832 1
Ce3 0.2009 0.5000 0.0855 1
Ga1 0.0000 0.0000 0.0000 1
Rh1 0.2377 0.5000 0.3843 1
```

Computed properties:
For the energy of formation from the pure elements, the calculation gives -456 meV per atom.

---

4.
VASP calculation (PBE-GGA) on crystalline CuMoBr2 at its relaxed geometry.

Geometry as CIF:
```
data_CuMoBr2
_cell_length_a 3.2355
_cell_length_b 3.2355
_cell_length_c 29.0590
_cell_angle_alpha 90.00
_cell_angle_beta 90.00
_cell_angle_gamma 120.00
_symmetry_space_group_name_H-M 'R -3 m'
_symmetry_Int_Tables_number 166
_symmetry_space_group_name_Hall '-R 3 2"'
loop_
_atom_site_label
_atom_site_fract_x
_atom_site_fract_y
_atom_site_fract_z
_atom_site_occupancy
Cu1 0.0000 0.0000 0.0000 1
Mo1 0.0000 0.0000 0.5000 1
Br1 0.0000 0.0000 0.2299 1
```

Computed properties:
The energy relative to the lowest polymorph listed for this composition is 0.96 eV per formula unit. As for the formation energy (no corrections): 0.423 eV/atom.

---

5.
VASP calculation (PBE-GGA) on crystalline GeAu2C at its relaxed geometry.

Geometry as CIF:
```
data_GeAu2C
_cell_length_a 6.3112
_cell_length_b 6.3112
_cell_length_c 6.3112
_cell_angle_alpha 90.00
_cell_angle_beta 90.00
_cell_angle_gamma 90.00
_symmetry_space_group_name_H-M 'F m -3 m'
_symmetry_Int_Tables_number 225
_symmetry_space_group_name_Hall '-F 4 2 3'
loop_
_atom_site_label
_atom_site_fract_x
_atom_site_fract_y
_atom_site_fract_z
_atom_site_occupancy
Ge1 0.0000 0.0000 0.0000 1
Au1 0.2500 0.2500 0.2500 1
C1 0.0000 0.0000 0.5000 1
```

Computed properties:
For the energy of formation from the pure elements, the calculation gives 1319 meV per atom. The energy relative to the lowest polymorph listed for this composition is 1.71 eV per formula unit.

---

6.
VASP calculation (PBE-GGA) on crystalline Cs2RhSCl6 at its relaxed geometry.

Geometry as CIF:
```
data_Cs2RhSCl6
_cell_length_a 6.9502
_cell_length_b 6.9502
_cell_length_c 11.8681
_cell_angle_alpha 90.00
_cell_angle_beta 90.00
_cell_angle_gamma 90.00
_symmetry_space_group_name_H-M 'I 4/m m m'
_symmetry_Int_Tables_number 139
_symmetry_space_group_name_Hall '-I 4 2'
loop_
_atom_site_label
_atom_site_fract_x
_atom_site_fract_y
_atom_site_fract_z
_atom_site_occupancy
Cs1 0.0000 0.5000 0.2500 1
Rh1 0.0000 0.0000 0.0000 1
S1 0.0000 0.0000 0.5000 1
Cl1 0.0000 0.0000 0.1991 1
Cl2 0.2502 0.2502 0.0000 1
```

Computed properties:
As for the formation energy (no corrections): -0.905 eV/atom.

---

7.
VASP calculation (PBE-GGA) on crystalline TiSb4Pd15 at its relaxed geometry.

Geometry as CIF:
```
data_TiSb4Pd15
_cell_length_a 4.0356
_cell_length_b 4.0356
_cell_length_c 20.1141
_cell_angle_alpha 90.00
_cell_angle_beta 90.00
_cell_angle_gamma 90.00
_symmetry_space_group_name_H-M 'P 4/m m m'
_symmetry_Int_Tables_number 123
_symmetry_space_group_name_Hall '-P 4 2'
loop_
_atom_site_label
_atom_site_fract_x
_atom_site_fract_y
_atom_site_fract_z
_atom_site_occupancy
Ti1 0.0000 0.0000 0.0000 1
Sb1 0.0000 0.0000 0.1964 1
Sb2 0.0000 0.0000 0.3986 1
Pd1 0.0000 0.5000 0.0933 1
Pd2 0.0000 0.5000 0.2972 1
Pd3 0.0000 0.5000 0.5000 1
Pd4 0.5000 0.5000 0.0000 1
Pd5 0.5000 0.5000 0.1960 1
Pd6 0.5000 0.5000 0.3984 1
```

Computed properties:
As for the formation energy (no corrections): -0.417 eV/atom.

---

8.
VASP calculation (PBE-GGA) on crystalline Ba2CaCd12Pt3 at its relaxed geometry.

Geometry as CIF:
```
data_Ba2CaCd12Pt3
_cell_length_a 9.6070
_cell_length_b 9.6070
_cell_length_c 21.8142
_cell_angle_alpha 90.00
_cell_angle_beta 90.00
_cell_angle_gamma 120.00
_symmetry_space_group_name_H-M 'R -3 m'
_symmetry_Int_Tables_number 166
_symmetry_space_group_name_Hall '-R 3 2"'
loop_
_atom_site_label
_atom_site_fract_x
_atom_site_fract_y
_atom_site_fract_z
_atom_site_occupancy
Ba1 0.0000 0.0000 0.0973 1
Ca1 0.0000 0.0000 0.5000 1
Cd1 0.0325 0.5162 0.3239 1
Cd2 0.0385 0.5192 0.8777 1
Pt1 0.0000 0.5000 0.0000 1
```

Computed properties:
For the energy of formation from the pure elements, the calculation gives -57 meV per atom.

---

9.
VASP calculation (PBE-GGA) on crystalline NaEuPt4 at its relaxed geometry.

Geometry as CIF:
```
data_NaEuPt4
_cell_length_a 7.6932
_cell_length_b 7.6932
_cell_length_c 7.6932
_cell_angle_alpha 90.00
_cell_angle_beta 90.00
_cell_angle_gamma 90.00
_symmetry_space_group_name_H-M 'F -4 3 m'
_symmetry_Int_Tables_number 216
_symmetry_space_group_name_Hall 'F -4 2 3'
loop_
_atom_site_label
_atom_site_fract_x
_atom_site_fract_y
_atom_site_fract_z
_atom_site_occupancy
Na1 0.0000 0.0000 0.0000 1
Eu1 0.2500 0.2500 0.7500 1
Pt1 0.1252 0.1252 0.3748 1
```

Computed properties:
For the energy of formation from the pure elements, the calculation gives -722 meV per atom.

---

10.
VASP calculation (PBE-GGA) on crystalline YSc2Pt at its relaxed geometry.

Geometry as CIF:
```
data_YSc2Pt
_cell_length_a 7.0163
_cell_length_b 7.0163
_cell_length_c 7.0163
_cell_angle_alpha 90.00
_cell_angle_beta 90.00
_cell_angle_gamma 90.00
_symmetry_space_group_name_H-M 'F -4 3 m'
_symmetry_Int_Tables_number 216
_symmetry_space_group_name_Hall 'F -4 2 3'
loop_
_atom_site_label
_atom_site_fract_x
_atom_site_fract_y
_atom_site_fract_z
_atom_site_occupancy
Y1 0.0000 0.0000 0.0000 1
Sc1 0.0000 0.0000 0.5000 1
Sc2 0.2500 0.2500 0.2500 1
Pt1 0.2500 0.2500 0.7500 1
```

Computed properties:
For the energy of formation from the pure elements, the calculation gives -421 meV per atom. The energy relative to the lowest polymorph listed for this composition is 1.14 eV per formula unit.

---

11.
VASP calculation (PBE-GGA) on crystalline IrWAu4 at its relaxed geometry.

Geometry as CIF:
```
data_IrWAu4
_cell_length_a 7.5293
_cell_length_b 7.5293
_cell_length_c 7.5293
_cell_angle_alpha 90.00
_cell_angle_beta 90.00
_cell_angle_gamma 90.00
_symmetry_space_group_name_H-M 'F -4 3 m'
_symmetry_Int_Tables_number 216
_symmetry_space_group_name_Hall 'F -4 2 3'
loop_
_atom_site_label
_atom_site_fract_x
_atom_site_fract_y
_atom_site_fract_z
_atom_site_occupancy
Ir1 0.0000 0.0000 0.0000 1
W1 0.2500 0.2500 0.7500 1
Au1 0.1250 0.1250 0.3750 1
```

Computed properties:
For the energy of formation from the pure elements, the calculation gives 861 meV per atom.

---

12.
VASP calculation (PBE-GGA) on crystalline Ac6TlZn5 at its relaxed geometry.

Geometry as CIF:
```
data_Ac6TlZn5
_cell_length_a 5.5776
_cell_length_b 16.7763
_cell_length_c 7.9036
_cell_angle_alpha 90.00
_cell_angle_beta 90.00
_cell_angle_gamma 90.00
_symmetry_space_group_name_H-M 'C m m m'
_symmetry_Int_Tables_number 65
_symmetry_space_group_name_Hall '-C 2 2'
loop_
_atom_site_label
_atom_site_fract_x
_atom_site_fract_y
_atom_site_fract_z
_atom_site_occupancy
Ac1 0.0000 0.0000 0.2404 1
Ac2 0.0000 0.3295 0.2446 1
Tl1 0.0000 0.5000 0.5000 1
Zn1 0.0000 0.1660 0.0000 1
Zn2 0.0000 0.1680 0.5000 1
Zn3 0.0000 0.5000 0.0000 1
```

Computed properties:
For the energy of formation from the pure elements, the calculation gives -255 meV per atom.